A relaxed structure of Ba6Ag2RhBr, computed with PBE.

Cell and atoms, written as POSCAR:
```
Ba6Ag2RhBr
1.0
8.012 0.000 0.000
0.000 9.018 0.000
-7.609 0.000 11.908
Ba Ag Rh Br
12 4 2 2
Cartesian
-1.094 0.416 2.834
-4.898 4.093 8.788
1.260 6.309 0.842
-2.545 7.218 6.796
2.564 1.494 0.781
-1.240 3.016 6.735
1.643 6.003 5.173
-2.161 7.525 11.127
2.948 1.800 5.112
-0.856 2.709 11.066
5.301 4.925 3.120
1.497 8.602 9.074
-3.293 1.000 8.938
0.512 3.509 2.984
-0.108 5.509 8.924
3.696 8.019 2.970
0.000 0.000 0.000
-3.804 4.509 5.954
0.202 0.000 5.954
4.006 4.509 0.000
```

Computed properties:
- Formation energy (no corrections): -0.496 eV per atom
- DOS at the Fermi energy: 12.93 states/eV per cell
- Theoretical density: 4.7 g/cm3